# CsKLiBr3 (GGA-PBE, optimized geometry)
data_CsKLiBr3
_cell_length_a 4.6245
_cell_length_b 15.6687
_cell_length_c 12.7772
_cell_angle_alpha 90.00
_cell_angle_beta 90.00
_cell_angle_gamma 90.00
_space_group_name_H-M_alt 'C m c m'
_space_group_IT_number 63
_space_group_name_Hall '-C 2c 2'
loop_
_atom_site_label
_atom_site_fract_x
_atom_site_fract_y
_atom_site_fract_z
_atom_site_occupancy
Cs1 0.0000 0.2428 0.2500 1
K1 0.0000 0.5000 0.0000 1
Li1 0.0000 0.0373 0.7500 1
Br1 0.0000 0.1295 0.5892 1
Br2 0.0000 0.4465 0.7500 1
# * energy relative to the elements, uncorrected: -1.682 eV per atom
# * crystal system: orthorhombic
# * spin magnetization: 0.00 Bohr magnetons per cell

***

# CeNi5 (GGA-PBE, optimized geometry)
data_CeNi5
_cell_length_a 4.5484
_cell_length_b 8.4608
_cell_length_c 4.3931
_cell_angle_alpha 90.00
_cell_angle_beta 108.77
_cell_angle_gamma 90.00
_space_group_name_H-M_alt 'C 1 2/m 1'
_space_group_IT_number 12
loop_
_space_group_symop_operation_xyz
'x,y,z'
'-x,-y,-z'
'-x,y,-z'
'x,-y,z'
'x+1/2,y+1/2,z'
'-x+1/2,-y+1/2,-z'
'-x+1/2,y+1/2,-z'
'x+1/2,-y+1/2,z'
loop_
_atom_site_label
_atom_site_fract_x
_atom_site_fract_y
_atom_site_fract_z
_atom_site_occupancy
Ce1 0.0000 0.0000 0.0000 1
Ni1 0.0000 0.1984 0.5000 1
Ni2 0.0000 0.3360 0.0000 1
Ni3 0.0000 0.5000 0.5000 1
# * crystal system: monoclinic
# * spin magnetization: 0.00 Bohr magnetons per cell

***

D(E_F) (states/eV/f.u.)
0.0; 4.2
E_tot (Ry per atom)
-0.232; -0.438